Material: Ca2Hg2Pd3
Method: DFT, PBE
State: relaxed

Cell: 5.8845 5.8845 7.0329 Å, 110.30 110.30 43.08°
Fractional positions:
1 Ca 0.1248 0.1248 0.2546
2 Ca 0.8752 0.8752 0.7454
3 Hg 0.1606 0.1606 0.7256
4 Hg 0.8394 0.8394 0.2744
5 Pd 0.4007 0.4007 0.0697
6 Pd 0.5000 0.5000 0.5000
7 Pd 0.5993 0.5993 0.9303

Values from the calculation:
* DOS(E_F): 0.40 states/eV/atom
* calculated volume: 22.05 Å³ per atom
* excess energy over the best structure of this formula in the dataset: 0.000 eV per atom
* energy: -23.855 eV per cell

Material: Ba8AgAu3
Method: DFT, PBE
State: relaxed

Cell: 9.3873 9.3873 9.3744 Å, 117.93 117.93 61.97°
Fractional positions:
1 Ba 0.2396 0.7484 0.7509
2 Ba 0.2449 0.2449 0.2544
3 Ba 0.2516 0.2516 0.7403
4 Ba 0.2516 0.7604 0.2491
5 Ba 0.7484 0.2396 0.7509
6 Ba 0.7484 0.7484 0.2597
7 Ba 0.7551 0.7551 0.7456
8 Ba 0.7604 0.2516 0.2491
9 Ag 0.5000 0.5000 0.0000
10 Au 0.0000 0.0000 0.0000
11 Au 0.0000 0.5000 0.5000
12 Au 0.5000 0.0000 0.5000

Values from the calculation:
* DOS(E_F): 0.99 states/eV/atom
* calculated volume: 50.90 Å³ per atom
* energy: -33.007 eV per cell

Material: AcCe2In
Method: DFT, PBE
State: relaxed

Cell: 4.9604 4.9604 5.1095 Å, 90.00 90.00 90.00°
Fractional positions:
1 Ac 0.0000 0.0000 0.0000
2 Ce 0.0000 0.5000 0.5000
3 Ce 0.5000 0.0000 0.5000
4 In 0.5000 0.5000 0.0000

Values from the calculation:
* DOS(E_F): 3.11 states/eV/atom
* calculated volume: 31.43 Å³ per atom
* excess energy over the best structure of this formula in the dataset: 0.000 eV per atom
* energy: -19.160 eV per cell

Material: Mg2GeSe4
Method: DFT, PBE
State: relaxed

Cell: 13.6329 7.9166 6.3938 Å, 90.00 90.00 90.00°
Fractional positions:
1 Mg 0.0000 0.0000 0.0000
2 Mg 0.0000 0.5000 0.0000
3 Mg 0.2314 0.2500 0.4984
4 Mg 0.2686 0.7500 0.9984
5 Mg 0.5000 0.0000 0.5000
6 Mg 0.5000 0.5000 0.5000
7 Mg 0.7314 0.2500 0.0016
8 Mg 0.7686 0.7500 0.5016
9 Ge 0.0881 0.7500 0.4114
10 Ge 0.4119 0.2500 0.9114
11 Ge 0.5881 0.7500 0.0886
12 Ge 0.9119 0.2500 0.5886
13 Se 0.0715 0.2500 0.7491
14 Se 0.0933 0.7500 0.7814
15 Se 0.1680 0.5152 0.2444
16 Se 0.1680 0.9848 0.2444
17 Se 0.3320 0.0152 0.7444
18 Se 0.3320 0.4848 0.7444
19 Se 0.4067 0.2500 0.2814
20 Se 0.4285 0.7500 0.2491
21 Se 0.5715 0.2500 0.7509
22 Se 0.5933 0.7500 0.7186
23 Se 0.6680 0.5152 0.2556
24 Se 0.6680 0.9848 0.2556
25 Se 0.8320 0.0152 0.7556
26 Se 0.8320 0.4848 0.7556
27 Se 0.9067 0.2500 0.2186
28 Se 0.9285 0.7500 0.2509

Values from the calculation:
* DOS(E_F): 0.00 states/eV/atom
* E_form (uncorrected): -5.9 eV per formula unit
* calculated volume: 24.64 Å³ per atom
* energy: -110.565 eV per cell